No. 1
# La5Ge3 | Alexandria | PBE-GGA | optimized geometry
# energy of formation from the pure elements = -0.717 eV per atom
# polymorph energy (0 for the lowest one) = 0 meV/atom
# total magnetic moment = 0.00 Bohr magnetons per cell
data_La5Ge3
_chemical_formula_sum 'La20 Ge12'
_space_group_name_H-M_alt 'I 4/m c m'
_space_group_IT_number 140
_space_group_name_Hall '-I 4 2c'
_cell_length_a 8.1254
_cell_length_b 8.1254
_cell_length_c 13.9544
_cell_angle_alpha 90.00
_cell_angle_beta 90.00
_cell_angle_gamma 90.00
loop_
_atom_site_label
_atom_site_type_symbol
_atom_site_fract_x
_atom_site_fract_y
_atom_site_fract_z
La1 La 0.0000 0.0000 0.0000
La2 La 0.1748 0.3252 0.1481
Ge1 Ge 0.0000 0.0000 0.2500
Ge2 Ge 0.1224 0.3776 0.5000


No. 2
# Rb2HfIF6 | Alexandria | PBE-GGA | optimized geometry
# uncorrected formation energy = -2879.2 meV per atom
# total magnetic moment = 2.00 Bohr magnetons per cell
data_Rb2HfIF6
_chemical_formula_sum 'Rb4 Hf2 I2 F12'
_space_group_name_H-M_alt 'I 4/m m m'
_space_group_IT_number 139
_space_group_name_Hall '-I 4 2'
_cell_length_a 7.0440
_cell_length_b 7.0440
_cell_length_c 10.5308
_cell_angle_alpha 90.00
_cell_angle_beta 90.00
_cell_angle_gamma 90.00
loop_
_atom_site_label
_atom_site_type_symbol
_atom_site_fract_x
_atom_site_fract_y
_atom_site_fract_z
Rb1 Rb 0.0000 0.5000 0.2500
Hf1 Hf 0.0000 0.0000 0.0000
I1 I 0.0000 0.0000 0.5000
F1 F 0.0000 0.0000 0.1903
F2 F 0.2013 0.2013 0.0000


Question: total magnetic moment of number 2 (Rb2HfIF6)?
Answer: 2.00 Bohr magnetons per cell


What did the first record say?
# La5Ge3 | Alexandria | PBE-GGA | optimized geometry
# energy of formation from the pure elements = -0.717 eV per atom
# polymorph energy (0 for the lowest one) = 0 meV/atom
# total magnetic moment = 0.00 Bohr magnetons per cell
data_La5Ge3
_chemical_formula_sum 'La20 Ge12'
_space_group_name_H-M_alt 'I 4/m c m'
_space_group_IT_number 140
_space_group_name_Hall '-I 4 2c'
_cell_length_a 8.1254
_cell_length_b 8.1254
_cell_length_c 13.9544
_cell_angle_alpha 90.00
_cell_angle_beta 90.00
_cell_angle_gamma 90.00
loop_
_atom_site_label
_atom_site_type_symbol
_atom_site_fract_x
_atom_site_fract_y
_atom_site_fract_z
La1 La 0.0000 0.0000 0.0000
La2 La 0.1748 0.3252 0.1481
Ge1 Ge 0.0000 0.0000 0.2500
Ge2 Ge 0.1224 0.3776 0.5000


Question: Number 2 is which compound?
Answer: Rb2HfIF6


Question: What is the total magnetic moment in the second record?
Answer: 2.00 Bohr magnetons per cell